HfSc2W, optimized geometry, DFT GGA-PBE; magnetization = 0.00 Bohr magnetons per cell; VASP energy = -33.89 eV/cell; SG = R-3m (166); polymorph energy (0 for the lowest one) = 0.038 eV per atom; ΔE_f = 0.4201 eV per atom; ρ = 8.87 g/cm3
1.0
1.508 0.871 10.741
-1.508 0.871 10.741
0.000 -1.742 10.741
Hf Sc W
1 2 1
direct
0.000 0.000 0.000 Hf
0.094 0.094 0.094 Sc
0.906 0.906 0.906 Sc
0.500 0.500 0.500 W